# ZnPtPb2 PBE relaxed
# Total magnetization ... 0.000 μB/cell
# Energy relative to the elements ... 0.34 eV/f.u.
# V ... 180.51 Å³/cell
data_ZnPtPb2
_cell_length_a 6.9048
_cell_length_b 6.9471
_cell_length_c 3.7637
_cell_angle_alpha 90.00
_cell_angle_beta 90.92
_cell_angle_gamma 90.00
_symmetry_space_group_name_H-M 'C 1 2/m 1'
_symmetry_Int_Tables_number 12
_symmetry_space_group_name_Hall '-C 2y'
loop_
_atom_site_label
_atom_site_type_symbol
_atom_site_fract_x
_atom_site_fract_y
_atom_site_fract_z
Zn1 Zn 0.0000 0.0000 0.0000
Pt1 Pt 0.0000 0.5000 0.0000
Pb1 Pb 0.2500 0.2500 0.5000



# Pr8Sn5Sb PBE relaxed
# Total magnetization ... 0.000 μB/cell
# V ... 903.31 Å³/cell
# Raw formation energy ... -0.80 eV per atom
data_Pr8Sn5Sb
_cell_length_a 9.6704
_cell_length_b 9.6704
_cell_length_c 9.6594
_cell_angle_alpha 90.00
_cell_angle_beta 90.00
_cell_angle_gamma 90.00
_symmetry_space_group_name_H-M 'I -4'
_symmetry_Int_Tables_number 82
_symmetry_space_group_name_Hall 'I -4'
loop_
_atom_site_label
_atom_site_type_symbol
_atom_site_fract_x
_atom_site_fract_y
_atom_site_fract_z
Pr1 Pr 0.0697 0.1803 0.1943
Pr2 Pr 0.0707 0.3195 0.5550
Sn1 Sn 0.0000 0.5000 0.2500
Sn2 Sn 0.1251 0.2506 0.8748
Sb1 Sb 0.0000 0.0000 0.5000



# GaCo3H PBE relaxed
# Total magnetization ... 12.123 μB/cell
# V ... 191.89 Å³/cell
# Total DFT energy (no corrections) ... -5.587 eV per atom
data_GaCo3H
_cell_length_a 7.3229
_cell_length_b 5.0864
_cell_length_c 6.2554
_cell_angle_alpha 90.00
_cell_angle_beta 124.55
_cell_angle_gamma 90.00
_symmetry_space_group_name_H-M 'C 1 2/m 1'
_symmetry_Int_Tables_number 12
_symmetry_space_group_name_Hall '-C 2y'
loop_
_atom_site_label
_atom_site_type_symbol
_atom_site_fract_x
_atom_site_fract_y
_atom_site_fract_z
Ga1 Ga 0.1469 0.0000 0.2648
Co1 Co 0.0000 0.2483 0.5000
Co2 Co 0.1070 0.5000 0.2364
Co3 Co 0.2500 0.2500 0.0000
H1 H 0.1603 0.0000 0.7559



# HfReAsSe2 PBE relaxed
# Total magnetization ... 4.440 μB/cell
# V ... 136.28 Å³/cell
# Raw formation energy ... 0.88 eV per atom
data_HfReAsSe2
_cell_length_a 5.0592
_cell_length_b 5.0592
_cell_length_c 5.3243
_cell_angle_alpha 90.00
_cell_angle_beta 90.00
_cell_angle_gamma 90.00
_symmetry_space_group_name_H-M 'P 4/m m m'
_symmetry_Int_Tables_number 123
_symmetry_space_group_name_Hall '-P 4 2'
loop_
_atom_site_label
_atom_site_type_symbol
_atom_site_fract_x
_atom_site_fract_y
_atom_site_fract_z
Hf1 Hf 0.0000 0.0000 0.0000
Re1 Re 0.5000 0.5000 0.5000
As1 As 0.0000 0.0000 0.5000
Se1 Se 0.0000 0.5000 0.0000



# CaSmDyY PBE relaxed
# Total magnetization ... 0.003 μB/cell
# Energy relative to the elements ... 0.60 eV/f.u.
# V ... 546.94 Å³/cell
data_CaSmDyY
_cell_length_a 8.1780
_cell_length_b 8.1780
_cell_length_c 8.1780
_cell_angle_alpha 90.00
_cell_angle_beta 90.00
_cell_angle_gamma 90.00
_symmetry_space_group_name_H-M 'F -4 3 m'
_symmetry_Int_Tables_number 216
_symmetry_space_group_name_Hall 'F -4 2 3'
loop_
_atom_site_label
_atom_site_type_symbol
_atom_site_fract_x
_atom_site_fract_y
_atom_site_fract_z
Ca1 Ca 0.0000 0.0000 0.0000
Sm1 Sm 0.2500 0.2500 0.2500
Dy1 Dy 0.0000 0.0000 0.5000
Y1 Y 0.2500 0.2500 0.7500



# Ca3NdZr2As6 PBE relaxed
# Total magnetization ... 0.000 μB/cell
# Energy relative to the elements ... -14.15 eV/f.u.
# V ... 592.53 Å³/cell
data_Ca3NdZr2As6
_cell_length_a 7.0462
_cell_length_b 12.2317
_cell_length_c 7.2734
_cell_angle_alpha 90.00
_cell_angle_beta 109.05
_cell_angle_gamma 90.00
_symmetry_space_group_name_H-M 'C 1 2/m 1'
_symmetry_Int_Tables_number 12
_symmetry_space_group_name_Hall '-C 2y'
loop_
_atom_site_label
_atom_site_type_symbol
_atom_site_fract_x
_atom_site_fract_y
_atom_site_fract_z
Ca1 Ca 0.0000 0.0000 0.0000
Ca2 Ca 0.0000 0.3383 0.0000
Nd1 Nd 0.0000 0.5000 0.5000
Zr1 Zr 0.0000 0.1678 0.5000
As1 As 0.2258 0.0000 0.7303
As2 As 0.2465 0.1755 0.2677